Entry 1:
Density functional theory data (GGA-PBE) for a geometry-optimized Na3UV2S6 structure. Values from VASP.

Cell and atoms, written as Quantum ESPRESSO input:
```
&SYSTEM
  ibrav = 0, nat = 12, ntyp = 4
/
ATOMIC_SPECIES
Na 22.99 Na.upf
U 238.03 U.upf
V 50.94 V.upf
S 32.06 S.upf
ATOMIC_POSITIONS crystal
Na 0.164 0.836 0.500
Na 0.836 0.164 0.500
Na 0.500 0.500 0.500
U 0.000 0.000 0.000
V 0.333 0.667 0.000
V 0.667 0.333 0.000
S 0.929 0.575 0.788
S 0.716 0.716 0.212
S 0.071 0.425 0.212
S 0.575 0.929 0.788
S 0.284 0.284 0.788
S 0.425 0.071 0.212
CELL_PARAMETERS angstrom
-4.111 0.312 4.916
6.301 -0.464 1.113
-0.244 6.701 -2.034
```

The calculation puts the formation energy without anion corrections at -27.52 kcal/mol of atoms. As for the crystal system: monoclinic.

Entry 2:
Density functional theory data (GGA-PBE) for a geometry-optimized Os2Se2F structure. Values from VASP.

Cell and atoms, written as Quantum ESPRESSO input:
```
&SYSTEM
  ibrav = 0, nat = 10, ntyp = 3
/
ATOMIC_SPECIES
Os 190.23 Os.upf
Se 78.96 Se.upf
F 19.00 F.upf
ATOMIC_POSITIONS crystal
Os 0.362 0.862 0.000
Os 0.862 0.638 0.000
Os 0.638 0.138 0.000
Os 0.138 0.362 0.000
Se 0.156 0.656 0.500
Se 0.656 0.844 0.500
Se 0.844 0.344 0.500
Se 0.344 0.156 0.500
F 0.000 0.000 0.000
F 0.500 0.500 0.000
CELL_PARAMETERS angstrom
7.298 0.000 0.000
0.000 7.298 0.000
0.000 0.000 2.950
```

The calculation puts the formation energy without anion corrections at 8.64 kcal/mol of atoms. As for the crystal system: tetragonal.

Entry 3:
Density functional theory data (GGA-PBE) for a geometry-optimized PmDyInPd structure. Values from VASP.

Cell and atoms, written as Quantum ESPRESSO input:
```
&SYSTEM
  ibrav = 0, nat = 4, ntyp = 4
/
ATOMIC_SPECIES
Pm 145.00 Pm.upf
In 114.82 In.upf
Pd 106.42 Pd.upf
Dy 162.50 Dy.upf
ATOMIC_POSITIONS crystal
Pm 0.250 0.250 0.250
In 0.500 0.500 0.500
Pd 0.000 0.000 0.000
Dy 0.750 0.750 0.750
CELL_PARAMETERS angstrom
-4.014 2.309 -2.425
-1.140 -1.258 -4.944
-4.327 -2.730 -1.071
```

The calculated formation energy is -0.5690 eV/atom. As for the crystal system: cubic.

Entry 4:
Density functional theory data (GGA-PBE) for a geometry-optimized Er5Cu6 structure. Values from VASP.

Cell and atoms, written as Quantum ESPRESSO input:
```
&SYSTEM
  ibrav = 0, nat = 11, ntyp = 2
/
ATOMIC_SPECIES
Er 167.26 Er.upf
Cu 63.55 Cu.upf
ATOMIC_POSITIONS crystal
Er 0.000 0.500 0.000
Er 0.676 0.676 0.352
Er 0.324 0.324 0.648
Er 0.368 0.859 0.718
Er 0.632 0.141 0.282
Cu 0.500 0.704 0.000
Cu 0.500 0.296 0.000
Cu 0.821 0.098 0.638
Cu 0.821 0.539 0.638
Cu 0.179 0.902 0.362
Cu 0.179 0.461 0.362
CELL_PARAMETERS angstrom
4.530 -0.010 -1.441
-0.807 6.459 -2.590
0.015 -0.473 8.289
```

The calculated formation energy is -0.1041 eV/atom. As for the crystal system: monoclinic.

Entry 5:
Density functional theory data (GGA-PBE) for a geometry-optimized La2WBr structure. Values from VASP.

Cell and atoms, written as Quantum ESPRESSO input:
```
&SYSTEM
  ibrav = 0, nat = 4, ntyp = 3
/
ATOMIC_SPECIES
Br 79.90 Br.upf
W 183.84 W.upf
La 138.91 La.upf
ATOMIC_POSITIONS crystal
Br 0.500 0.000 0.500
W 0.500 0.500 0.000
La 0.000 0.000 0.000
La 0.000 0.500 0.500
CELL_PARAMETERS angstrom
3.308 0.000 0.000
0.000 5.624 0.000
0.000 0.000 5.624
```

The calculation puts the formation energy without anion corrections at 0.50 kcal/mol of atoms. As for the crystal system: tetragonal.

Entry 6:
Density functional theory data (GGA-PBE) for a geometry-optimized Pr2YRh2 structure. Values from VASP.

Cell and atoms, written as Quantum ESPRESSO input:
```
&SYSTEM
  ibrav = 0, nat = 5, ntyp = 3
/
ATOMIC_SPECIES
Pr 140.91 Pr.upf
Y 88.91 Y.upf
Rh 102.91 Rh.upf
ATOMIC_POSITIONS crystal
Pr 0.221 0.721 0.337
Pr 0.779 0.279 0.663
Y 0.000 0.500 0.000
Rh 0.616 0.116 0.152
Rh 0.384 0.884 0.848
CELL_PARAMETERS angstrom
-2.986 -0.960 -3.582
-2.815 -3.835 0.206
-6.455 1.873 1.713
```

The calculated formation energy is -0.5249 eV/atom. As for the crystal system: trigonal.

Entry 7:
Density functional theory data (GGA-PBE) for a geometry-optimized ZrScH2 structure. Values from VASP.

Cell and atoms, written as Quantum ESPRESSO input:
```
&SYSTEM
  ibrav = 0, nat = 4, ntyp = 3
/
ATOMIC_SPECIES
Sc 44.96 Sc.upf
H 1.01 H.upf
Zr 91.22 Zr.upf
ATOMIC_POSITIONS crystal
Sc 0.500 0.500 0.500
H 0.257 0.257 0.229
H 0.743 0.743 0.771
Zr 0.000 0.000 0.000
CELL_PARAMETERS angstrom
-0.462 1.854 2.604
1.523 -0.688 2.764
4.400 3.457 0.323
```

As for the crystal system: trigonal. For the total energy, the calculation gives -23.0 eV per cell.

Entry 8:
Density functional theory data (GGA-PBE) for a geometry-optimized Li2GePd2 structure. Values from VASP.

Cell and atoms, written as Quantum ESPRESSO input:
```
&SYSTEM
  ibrav = 0, nat = 10, ntyp = 3
/
ATOMIC_SPECIES
Ge 72.64 Ge.upf
Pd 106.42 Pd.upf
Li 6.94 Li.upf
ATOMIC_POSITIONS crystal
Ge 0.000 0.000 0.000
Ge 0.500 0.500 0.000
Pd 0.349 0.849 0.000
Pd 0.849 0.651 0.000
Pd 0.651 0.151 0.000
Pd 0.151 0.349 0.000
Li 0.156 0.656 0.500
Li 0.656 0.844 0.500
Li 0.844 0.344 0.500
Li 0.344 0.156 0.500
CELL_PARAMETERS angstrom
6.395 0.000 0.000
0.000 6.395 0.000
0.000 0.000 3.949
```

The calculated formation energy is -0.4470 eV/atom. As for the crystal system: tetragonal.

Record-wise volume values, in Å³/atom: 19.8; 15.7; 25.3; 21.5; 26.2; 25.0; 11.9; 16.1